[1]
# Tb6PrDy4, optimized geometry, DFT PBE
data_Tb6PrDy4
_chemical_formula_sum 'Tb12 Pr2 Dy8'
_cell_length_a 5.606
_cell_length_b 5.606
_cell_length_c 25.693
_cell_angle_alpha 90.00
_cell_angle_beta 90.00
_cell_angle_gamma 118.04
_space_group_name_H-M_alt 'P 1'
_space_group_IT_number 1
loop_
_space_group_symop_operation_xyz
'x,y,z'
loop_
_atom_site_label
_atom_site_fract_x
_atom_site_fract_y
_atom_site_fract_z
Tb1 0.000 0.000 0.000
Tb2 0.000 0.000 0.500
Tb3 0.037 0.963 0.750
Tb4 0.300 0.700 0.101
Tb5 0.300 0.700 0.399
Tb6 0.371 0.629 0.681
Tb7 0.371 0.629 0.819
Tb8 0.629 0.371 0.181
Tb9 0.629 0.371 0.319
Tb10 0.700 0.300 0.601
Tb11 0.700 0.300 0.899
Tb12 0.963 0.037 0.250
Pr1 0.299 0.701 0.250
Pr2 0.701 0.299 0.750
Dy1 0.042 0.958 0.621
Dy2 0.042 0.958 0.879
Dy3 0.348 0.652 0.543
Dy4 0.348 0.652 0.957
Dy5 0.652 0.348 0.043
Dy6 0.652 0.348 0.457
Dy7 0.958 0.042 0.121
Dy8 0.958 0.042 0.379
# energy above the most stable polymorph in this dataset = 0.0 meV/atom
# DOS(E_F) = 20.71 states/eV/f.u.
# symmetry = Cmcm, No. 63

---

[2]
# Tb5PrDy12, optimized geometry, DFT PBE
data_Tb5PrDy12
_chemical_formula_sum 'Tb5 Pr1 Dy12'
_cell_length_a 10.314
_cell_length_b 10.314
_cell_length_c 5.959
_cell_angle_alpha 90.01
_cell_angle_beta 90.01
_cell_angle_gamma 114.22
_space_group_name_H-M_alt 'P 1'
_space_group_IT_number 1
loop_
_space_group_symop_operation_xyz
'x,y,z'
loop_
_atom_site_label
_atom_site_fract_x
_atom_site_fract_y
_atom_site_fract_z
Tb1 0.000 0.000 0.000
Tb2 0.169 0.831 0.500
Tb3 0.332 0.668 0.000
Tb4 0.668 0.332 0.000
Tb5 0.831 0.169 0.500
Pr1 0.500 0.500 0.500
Dy1 0.009 0.342 0.053
Dy2 0.155 0.489 0.554
Dy3 0.171 0.171 0.455
Dy4 0.324 0.324 0.955
Dy5 0.342 0.009 0.053
Dy6 0.489 0.155 0.554
Dy7 0.511 0.845 0.446
Dy8 0.658 0.991 0.947
Dy9 0.676 0.676 0.045
Dy10 0.829 0.829 0.545
Dy11 0.845 0.511 0.446
Dy12 0.991 0.658 0.947
# DOS(E_F) = 34.81 states/eV/f.u.
# symmetry = C2/m, No. 12

---

[3]
# Tb5Pr2Dy, optimized geometry, DFT PBE
data_Tb5Pr2Dy
_chemical_formula_sum 'Tb5 Pr2 Dy1'
_cell_length_a 10.754
_cell_length_b 10.754
_cell_length_c 10.754
_cell_angle_alpha 152.59
_cell_angle_beta 152.59
_cell_angle_gamma 39.16
_space_group_name_H-M_alt 'P 1'
_space_group_IT_number 1
loop_
_space_group_symop_operation_xyz
'x,y,z'
loop_
_atom_site_label
_atom_site_fract_x
_atom_site_fract_y
_atom_site_fract_z
Tb1 0.000 0.000 0.000
Tb2 0.123 0.623 0.500
Tb3 0.377 0.877 0.500
Tb4 0.623 0.123 0.500
Tb5 0.877 0.377 0.500
Pr1 0.250 0.250 0.000
Pr2 0.750 0.750 0.000
Dy1 0.500 0.500 0.000
# energy above the most stable polymorph in this dataset = 2.8 meV/atom
# DOS(E_F) = 11.97 states/eV/f.u.
# symmetry = I4/mmm, No. 139

---

[4]
# Tb2Pr6Dy3, optimized geometry, DFT PBE
data_Tb2Pr6Dy3
_chemical_formula_sum 'Tb2 Pr6 Dy3'
_cell_length_a 17.516
_cell_length_b 17.516
_cell_length_c 17.516
_cell_angle_alpha 164.31
_cell_angle_beta 164.31
_cell_angle_gamma 22.25
_space_group_name_H-M_alt 'P 1'
_space_group_IT_number 1
loop_
_space_group_symop_operation_xyz
'x,y,z'
loop_
_atom_site_label
_atom_site_fract_x
_atom_site_fract_y
_atom_site_fract_z
Tb1 0.045 0.045 0.000
Tb2 0.955 0.955 0.000
Pr1 0.120 0.620 0.500
Pr2 0.207 0.207 0.000
Pr3 0.380 0.880 0.500
Pr4 0.620 0.120 0.500
Pr5 0.793 0.793 0.000
Pr6 0.880 0.380 0.500
Dy1 0.307 0.307 0.000
Dy2 0.500 0.500 0.000
Dy3 0.693 0.693 0.000
# energy above the most stable polymorph in this dataset = 276.8 meV/atom
# DOS(E_F) = 16.31 states/eV/f.u.
# symmetry = I4/mmm, No. 139

---

no.,E (eV/f.u.),formation energy (eV/atom)
1,-49.61,0.1238
2,-81.07,0.1156
3,-37.15,0.0208
4,-48.52,0.2930